## TmLu2Co9 (PBE-GGA)

Data for a relaxed structure of TmLu2Co9.

The structure belongs to space group R-3m (No. 166, hexagonal axes); the cell edges are 4.8982, 4.8982 and 23.9612 Å and the angles 90.00°, 90.00° and 120.00°. The distinct sites, in fractional coordinates, are Tm at (0.0000, 0.0000, 0.0000), Lu at (0.0000, 0.0000, 0.1400), Co at (0.0000, 0.0000, 0.3349), Co at (0.0000, 0.0000, 0.5000) and Co at (0.0039, 0.5020, 0.9178).

The crystal system is trigonal. The formation energy is -0.2315 eV per atom. As for the magnetic moment: 10.67 μB/f.u. As for the theoretical density: 10.50 Mg/m³.